No. 1
Density functional theory data (PBE) for a relaxed CaBiAu crystal.

The calculation puts the formation energy at -2.05 eV/f.u.

CIF file:
```
data_CaBiAu
_cell_length_a 4.8602
_cell_length_b 4.8602
_cell_length_c 7.8880
_cell_angle_alpha 90.00
_cell_angle_beta 90.00
_cell_angle_gamma 120.00
_symmetry_space_group_name_H-M 'P 63 m c'
_symmetry_Int_Tables_number 186
_symmetry_space_group_name_Hall 'P 6c -2c'
loop_
_atom_site_label
_atom_site_type_symbol
_atom_site_fract_x
_atom_site_fract_y
_atom_site_fract_z
Ca1 Ca 0.0000 0.0000 0.0000
Bi1 Bi 0.3333 0.6667 0.2776
Au1 Au 0.3333 0.6667 0.6722
```

No. 2
Density functional theory data (PBE) for a relaxed BaBeAl crystal.

The calculation puts the formation energy at 0.07 eV/f.u.

CIF file:
```
data_BaBeAl
_cell_length_a 5.844
_cell_length_b 5.844
_cell_length_c 9.864
_cell_angle_alpha 90.00
_cell_angle_beta 90.10
_cell_angle_gamma 90.00
_symmetry_space_group_name_H-M 'C 1 2/m 1'
_symmetry_Int_Tables_number 12
loop_
_symmetry_equiv_pos_as_xyz
'x,y,z'
'-x,-y,-z'
'-x,y,-z'
'x,-y,z'
'x+1/2,y+1/2,z'
'-x+1/2,-y+1/2,-z'
'-x+1/2,y+1/2,-z'
'x+1/2,-y+1/2,z'
loop_
_atom_site_label
_atom_site_type_symbol
_atom_site_fract_x
_atom_site_fract_y
_atom_site_fract_z
Ba1 Ba 0.249 0.000 0.205
Be1 Be 0.249 0.500 0.366
Al1 Al 0.000 0.250 0.500
```

No. 3
Density functional theory data (PBE) for a relaxed La4Sb8Rh3 crystal.

The calculation puts the energy relative to the elements, uncorrected at -82.0 kJ per mole of atoms.

CIF file:
```
data_La4Sb8Rh3
_cell_length_a 4.482
_cell_length_b 4.482
_cell_length_c 20.171
_cell_angle_alpha 90.00
_cell_angle_beta 90.00
_cell_angle_gamma 90.00
_symmetry_space_group_name_H-M 'P -4 m 2'
_symmetry_Int_Tables_number 115
loop_
_symmetry_equiv_pos_as_xyz
'x,y,z'
'y,-x,-z'
'-x,-y,z'
'-y,x,-z'
'-x,y,z'
'-y,-x,-z'
'x,-y,z'
'y,x,-z'
loop_
_atom_site_label
_atom_site_type_symbol
_atom_site_fract_x
_atom_site_fract_y
_atom_site_fract_z
La1 La 0.000 0.500 0.119
La2 La 0.000 0.500 0.626
Sb1 Sb 0.000 0.000 0.247
Sb2 Sb 0.000 0.500 0.428
Sb3 Sb 0.000 0.500 0.937
Sb4 Sb 0.500 0.500 0.247
Rh1 Rh 0.000 0.000 0.000
Rh2 Rh 0.000 0.000 0.500
Rh3 Rh 0.500 0.500 0.500
```

no.,E_tot (eV per atom)
1,-3.735
2,-3.106
3,-5.833